# Zr2TaCd

Zr2TaCd after structural relaxation (PBE, Alexandria via LeMat-Bulk).

Electronic total energy ... -54.7 eV for the cell shown
Space-group type ... I-42d (122)
Crystal system ... tetragonal
Formation enthalpy at 0 K ... 243 kJ/mol of formula units

```
Zr2TaCd
1.0
-2.085 2.085 10.312
2.085 -2.085 10.312
2.085 2.085 -10.312
Zr Ta Cd
4 2 2
direct
0.115 0.625 0.990 Zr
0.375 0.365 0.490 Zr
0.635 0.125 0.010 Zr
0.875 0.885 0.510 Zr
0.000 0.000 0.000 Ta
0.750 0.250 0.500 Ta
0.250 0.750 0.500 Cd
0.500 0.500 0.000 Cd
```